Here is crystalline Nd6SmGa2 at its relaxed geometry from Alexandria. Energies are from PBE-GGA.

Lattice parameters (Å, degrees): 6.7221 6.7221 12.1155 108.98 108.98 32.70
With the nearest neighbours (Å) after each atom.
Element x y z (fractional)
Nd1 0.0269 0.0269 0.3240  2 Ga 3.15, 1 Nd 3.45
Nd2 0.3101 0.3101 0.1253  2 Ga 3.17, 3 Nd 3.43-3.47
Nd3 0.3108 0.3108 0.4086  2 Ga 3.30, 4 Nd 3.43-3.65
Nd4 0.6892 0.6892 0.5914  2 Ga 3.30, 4 Nd 3.43-3.65
Nd5 0.6899 0.6899 0.8747  2 Ga 3.17, 3 Nd 3.43-3.47
Nd6 0.9731 0.9731 0.6760  2 Ga 3.15, 1 Nd 3.45
Sm1 0.0000 0.0000 0.0000  4 Ga 3.14
Ga1 0.3534 0.3534 0.8020  2 Sm 3.14, 6 Nd 3.15-3.30
Ga2 0.6466 0.6466 0.1980  2 Sm 3.14, 6 Nd 3.15-3.30

Density of states at the Fermi level: 9.2 states/eV/cell
Electronic total energy: -4.6083 eV per atom
Space group: C2/m
Formation energy from the elements: -0.233 eV/atom